Entry from OQMD via LeMat-Bulk: a relaxed structure of Pr2Dy2CBr3Cl2 (PBE-GGA).

The space group is C2/m (No. 12) and the conventional cell measures 17.602, 3.836 and 8.163 Å, with angles of 90.00, 104.05 and 90.00 degrees. Symmetry generates all atoms from Pr at (0.149, 0.000, 0.079), Dy at (0.001, 0.500, 0.799), C at (0.000, 0.000, 0.000), Br at (0.000, 0.000, 0.500), Br at (0.163, 0.500, 0.362) and Cl at (0.164, 0.500, 0.823).

Its total energy is -103.92 eV/cell.